DFT (GGA-PBE) results for a relaxed structure of Y2LuPt.

Properties
* space-group type: R-3m
* volume: 122.5 Å³/f.u.
* magnetization: 0.00 μB per formula unit
* formation energy from the elements: -0.255 eV per atom
* final energy: -6.128 eV per atom
* energy relative to the lowest polymorph listed for this composition: 303.1 meV per atom

```
Y2LuPt
1.0
3.6773 0.0000 0.0000
-1.8386 3.1846 0.0000
0.0000 0.0000 31.3832
Y Lu Pt
6 3 3
direct
0.0000 0.0000 0.1081
0.0000 0.0000 0.8919
0.3333 0.6667 0.5586
0.3333 0.6667 0.7747
0.6667 0.3333 0.2253
0.6667 0.3333 0.4414
0.0000 0.0000 0.0000
0.3333 0.6667 0.6667
0.6667 0.3333 0.3333
0.0000 0.0000 0.5000
0.3333 0.6667 0.1667
0.6667 0.3333 0.8333
```